1.
Compound: Hf2Al2Pd
Source: the Open Quantum Materials Database
Functional: PBE
Structure: optimized geometry

Calculated values
E_tot = -7.09 eV per atom
Spin magnetization = 0.00 μB/f.u.
V = 18.1 Å³ per atom

abc: 6.4698 6.4698 4.3193
angles: 90.00 90.00 90.00
Closest atoms and distances in Å follow each position.
Element x y z (fractional)
Al  0.6399  0.1399  0.0000  2 Pd 2.50, 1 Al 2.56, 2 Hf 2.79
Al  0.1399  0.3601  0.0000  2 Pd 2.50, 1 Al 2.56, 2 Hf 2.79
Al  0.8601  0.6399  0.0000  2 Pd 2.50, 1 Al 2.56, 2 Hf 2.79
Al  0.3601  0.8601  0.0000  2 Pd 2.50, 1 Al 2.56, 2 Hf 2.79
Hf  0.3328  0.1672  0.5000  6 Al 2.79-2.94, 1 Hf 3.06
Hf  0.8328  0.3328  0.5000  6 Al 2.79-2.94, 1 Hf 3.06
Hf  0.1672  0.6672  0.5000  6 Al 2.79-2.94, 1 Hf 3.06
Hf  0.6672  0.8328  0.5000  6 Al 2.79-2.94, 1 Hf 3.06
Pd  0.0000  0.0000  0.0000  4 Al 2.50
Pd  0.5000  0.5000  0.0000  4 Al 2.50

2.
Compound: Na4AsPAu2
Source: the Open Quantum Materials Database
Functional: PBE
Structure: optimized geometry

Calculated values
E_tot = -3.22 eV per atom
V = 22.2 Å³ per atom

abc: 5.8291 5.5931 5.5931
angles: 103.25 90.00 90.00
Closest atoms and distances in Å follow each position.
Element x y z (fractional)
As  0.0000  0.7084  0.7084  2 Au 2.54
Au  0.2497  0.0077  0.0077  1 P 2.41, 1 As 2.54
Au  0.7503  0.0077  0.0077  1 P 2.41, 1 As 2.54
Na  0.0000  0.5298  0.1682  2 As 2.96, 1 Na 3.17, 2 Au 3.20
Na  0.5000  0.8277  0.4666  2 P 2.96-2.98, 1 Na 3.17, 4 Au 3.30
Na  0.0000  0.1682  0.5298  2 As 2.96, 1 Na 3.17, 2 Au 3.20
Na  0.5000  0.4666  0.8277  2 P 2.96-2.98, 1 Na 3.17, 4 Au 3.30
P  0.5000  0.2839  0.2839  2 Au 2.41

3.
Compound: LuCd
Source: the Open Quantum Materials Database
Functional: PBE
Structure: optimized geometry

Calculated values
E_tot = -1.98 eV per atom
Spin magnetization = 0.00 μB/f.u.
V = 36.9 Å³ per atom

abc: 4.7081 4.7081 4.7081
angles: 60.00 60.00 60.00
Closest atoms and distances in Å follow each position.
Element x y z (fractional)
Cd  0.0000  0.0000  0.0000  4 Lu 2.88
Lu  0.2500  0.2500  0.2500  4 Cd 2.88

4.
Compound: HoErNi2B2As2
Source: the Open Quantum Materials Database
Functional: PBE
Structure: optimized geometry

Calculated values
E_tot = -6.01 eV per atom
Spin magnetization = 0.01 μB/f.u.
V = 15.6 Å³ per atom

abc: 3.9062 3.9062 8.1954
angles: 90.00 90.00 90.00
Closest atoms and distances in Å follow each position.
Element x y z (fractional)
As  0.0000  0.0000  0.1505  1 B 2.12
As  0.5000  0.5000  0.8490  1 B 2.12
B  0.0000  0.0000  0.4088  4 Ni 2.09, 1 As 2.12
B  0.5000  0.5000  0.5909  4 Ni 2.09, 1 As 2.12
Er  0.0000  0.0000  0.7697  5 As 2.84-3.12, 4 Ni 2.95, 5 B 2.96-3.13
Ho  0.5000  0.5000  0.2302  5 As 2.84-3.12, 4 Ni 2.95, 5 B 2.96-3.13
Ni  0.5000  0.0000  0.5004  4 B 2.09
Ni  0.0000  0.5000  0.5004  4 B 2.09

5.
Compound: Tm3AlZn2AgAu2
Source: the Open Quantum Materials Database
Functional: PBE
Structure: optimized geometry

Calculated values
E_tot = -3.84 eV per atom
Spin magnetization = 0.01 μB/f.u.
V = 20.5 Å³ per atom

abc: 3.9040 7.4013 7.4013
angles: 120.61 90.00 90.00
Closest atoms and distances in Å follow each position.
Element x y z (fractional)
Ag  0.0000  0.0058  0.0058  2 Al 2.64, 4 Zn 2.72
Al  0.5000  0.2479  0.2479  2 Ag 2.64, 2 Au 2.78
Au  0.5000  0.6588  0.3324  1 Al 2.78, 2 Zn 2.82-2.83, 6 Tm 2.95-2.97
Au  0.5000  0.3324  0.6588  1 Al 2.78, 2 Zn 2.82-2.83, 6 Tm 2.95-2.97
Tm  0.0000  0.9949  0.4137  4 Au 2.95-2.97, 1 Ag 3.06, 4 Zn 3.13-3.27
Tm  0.0000  0.5936  0.5936  4 Au 2.95, 1 Ag 3.02, 2 Al 3.20, 4 Zn 3.29
Tm  0.0000  0.4137  0.9949  4 Au 2.95-2.97, 1 Ag 3.06, 4 Zn 3.13-3.27
Zn  0.5000  0.7485  0.0044  2 Ag 2.72, 2 Au 2.82-2.83
Zn  0.5000  0.0044  0.7485  2 Ag 2.72, 2 Au 2.82-2.83

6.
Compound: Fe
Source: the Open Quantum Materials Database
Functional: PBE
Structure: optimized geometry

Calculated values
E_tot = -8.31 eV per atom
Spin magnetization = 2.17 μB/f.u.
V = 11.2 Å³ per atom

abc: 3.9857 3.9857 7.3224
angles: 90.00 90.00 120.00
Closest atoms and distances in Å follow each position.
Element x y z (fractional)
Fe  0.0000  0.0000  0.0000  8 Fe 2.44
Fe  0.6667  0.3333  0.1114  8 Fe 2.44
Fe  0.3333  0.6667  0.2218  8 Fe 2.44
Fe  0.0000  0.0000  0.3334  8 Fe 2.44
Fe  0.6667  0.3333  0.4445  8 Fe 2.44
Fe  0.3333  0.6667  0.5555  8 Fe 2.44
Fe  0.0000  0.0000  0.6666  8 Fe 2.44
Fe  0.6667  0.3333  0.7782  8 Fe 2.44
Fe  0.3333  0.6667  0.8886  8 Fe 2.44

- Which formula does entry 6 have?
  Fe